Entry 1:
LiAc5Se8 after structural relaxation. Source: the Alexandria database, functional PBE-GGA. Values from VASP.

Output
Total DFT energy (no corrections) (eV/atom): -5.5430
Uncorrected formation energy (eV/atom): -1.948

The structure in Quantum ESPRESSO input format:
```
&SYSTEM
  ibrav = 0, nat = 14, ntyp = 3
/
ATOMIC_SPECIES
Se 78.96 Se.upf
Ac 227.00 Ac.upf
Li 6.94 Li.upf
CELL_PARAMETERS angstrom
8.0952 0.0000 0.0000
-2.7391 7.6177 0.0000
-2.6171 -3.8518 6.6217
ATOMIC_POSITIONS angstrom
Se 5.7092 -1.9504 4.7902
Se -1.0280 5.6002 0.1573
Se 1.7556 -0.3560 5.8389
Ac -1.2950 2.3846 0.8452
Ac 2.7145 2.3092 4.1815
Ac 3.9936 5.7517 1.6550
Se 0.5354 0.4380 2.5582
Ac 2.7391 -1.9259 3.3108
Se 1.6389 3.6612 1.5750
Se 0.2616 3.4441 5.7378
Li -1.3085 0.9200 4.9663
Se 4.5491 0.4666 2.4038
Ac 0.0651 -2.9135 6.5618
Se -2.4655 3.7602 3.4257
```

Entry 2:
LiAc3Se4 after structural relaxation. Source: the Alexandria database, functional PBE-GGA. Values from VASP.

Output
Energy relative to the lowest polymorph listed for this composition (kJ/mol of atoms): 0.00
Total DFT energy (no corrections) (eV/atom): -5.3089
Uncorrected formation energy (eV/atom): -1.787

The structure in Quantum ESPRESSO input format:
```
&SYSTEM
  ibrav = 0, nat = 8, ntyp = 3
/
ATOMIC_SPECIES
Ac 227.00 Ac.upf
Se 78.96 Se.upf
Li 6.94 Li.upf
CELL_PARAMETERS angstrom
-3.6675 3.5298 -3.6263
-3.8097 -4.8737 -0.8911
-3.3311 1.6876 5.0116
ATOMIC_POSITIONS angstrom
Ac -3.5704 -1.5930 2.0603
Ac -3.4993 2.6087 0.6927
Se -5.4041 0.1719 0.2471
Li 0.0000 0.0000 0.0000
Se -1.9048 -2.4368 -0.4455
Se -1.8337 1.7649 -1.8131
Ac -3.7386 -0.6719 -2.2587
Se -1.6655 0.8438 2.5058
```

Entry 3:
LiAc4Se5 after structural relaxation. Source: the Alexandria database, functional PBE-GGA. Values from VASP.

Output
Energy relative to the lowest polymorph listed for this composition (kJ/mol of atoms): 0.30
Total DFT energy (no corrections) (eV/atom): -5.3639
Uncorrected formation energy (eV/atom): -1.787

The structure in Quantum ESPRESSO input format:
```
&SYSTEM
  ibrav = 0, nat = 10, ntyp = 3
/
ATOMIC_SPECIES
Se 78.96 Se.upf
Ac 227.00 Ac.upf
Li 6.94 Li.upf
CELL_PARAMETERS angstrom
4.4465 0.0000 0.0000
2.2233 3.8508 0.0000
2.2233 1.2836 17.5797
ATOMIC_POSITIONS angstrom
Se 2.2233 1.2836 7.2753
Se 0.0000 0.0000 0.0000
Ac 2.2233 1.2836 12.0498
Ac 2.2233 1.2836 1.8292
Se 4.4465 2.5672 13.8958
Ac 6.6698 3.8508 15.7504
Se 4.4465 2.5672 3.6839
Li 4.4465 2.5672 8.7898
Se 6.6698 3.8508 10.3043
Ac 6.6698 3.8508 5.5299
```

Entry 4:
LiAcSiSe4 after structural relaxation. Source: the Alexandria database, functional PBE-GGA. Values from VASP.

Output
Total DFT energy (no corrections) (eV/atom): -4.7722
Uncorrected formation energy (eV/atom): -1.146

The structure in Quantum ESPRESSO input format:
```
&SYSTEM
  ibrav = 0, nat = 14, ntyp = 4
/
ATOMIC_SPECIES
Li 6.94 Li.upf
Si 28.09 Si.upf
Se 78.96 Se.upf
Ac 227.00 Ac.upf
CELL_PARAMETERS angstrom
6.8766 0.0000 0.1141
0.0000 7.0095 0.0000
-2.5586 0.0000 7.6774
ATOMIC_POSITIONS angstrom
Li 3.8867 5.2571 3.5161
Si 0.7463 5.2571 2.4778
Se -0.6207 3.4837 2.0125
Se 1.4577 5.2571 4.6044
Li 0.4313 1.7524 4.2754
Ac 2.7795 5.2571 7.3135
Si 3.5718 1.7524 5.3137
Se 2.8603 1.7524 3.1871
Se 4.9387 3.5258 5.7790
Se 1.8320 1.7524 6.8329
Ac 1.5385 1.7524 0.4780
Se -0.6207 0.0210 2.0125
Se 4.9387 6.9885 5.7790
Se 2.4860 5.2571 0.9586
```

Entry 5:
Li3Ac2SmSe6 after structural relaxation. Source: the Alexandria database, functional PBE-GGA. Values from VASP.

Output
Total DFT energy (no corrections) (eV/atom): -5.0058
Uncorrected formation energy (eV/atom): -1.707

The structure in Quantum ESPRESSO input format:
```
&SYSTEM
  ibrav = 0, nat = 12, ntyp = 4
/
ATOMIC_SPECIES
Se 78.96 Se.upf
Ac 227.00 Ac.upf
Li 6.94 Li.upf
Sm 150.36 Sm.upf
CELL_PARAMETERS angstrom
-3.3372 2.6875 -0.4484
-4.9559 -5.8110 2.0564
2.5104 1.1516 8.9147
ATOMIC_POSITIONS angstrom
Se 0.4445 1.5439 5.9448
Ac -4.8381 -1.4465 6.6420
Li -2.4002 1.6255 6.9092
Se -1.2208 -1.3826 0.7998
Ac -0.9446 -0.5255 3.8808
Se -6.2273 -3.5159 4.5780
Se -1.7764 -1.0524 6.9128
Li -4.1466 -1.5617 0.8040
Se -4.5619 -0.5894 9.7230
Li -3.3826 -3.5974 3.6136
Sm -1.6686 1.3437 -0.2242
Se -4.0064 -0.9195 3.6100
```

Entry 6:
LiAc2SmSe4 after structural relaxation. Source: the Alexandria database, functional PBE-GGA. Values from VASP.

Output
Total DFT energy (no corrections) (eV/atom): -5.3600
Uncorrected formation energy (eV/atom): -1.762

The structure in Quantum ESPRESSO input format:
```
&SYSTEM
  ibrav = 0, nat = 8, ntyp = 4
/
ATOMIC_SPECIES
Ac 227.00 Ac.upf
Se 78.96 Se.upf
Li 6.94 Li.upf
Sm 150.36 Sm.upf
CELL_PARAMETERS angstrom
4.3264 0.0000 0.0000
0.0000 7.3391 -0.0885
0.0000 2.6367 7.0504
ATOMIC_POSITIONS angstrom
Ac 0.0000 2.6367 7.0504
Se 0.0001 7.3361 5.3047
Se 2.1632 5.9990 1.7098
Ac 2.1632 1.3184 3.5252
Se 2.1632 3.9769 5.2521
Li 2.1632 3.6695 -0.0442
Se 4.3264 2.6397 1.6572
Sm 0.0000 4.9879 3.4810
```

Entry 7:
LiAc2SnSe4 after structural relaxation. Source: the Alexandria database, functional PBE-GGA. Values from VASP.

Output
Total DFT energy (no corrections) (eV/atom): -4.8690
Uncorrected formation energy (eV/atom): -1.360

The structure in Quantum ESPRESSO input format:
```
&SYSTEM
  ibrav = 0, nat = 8, ntyp = 4
/
ATOMIC_SPECIES
Ac 227.00 Ac.upf
Sn 118.71 Sn.upf
Se 78.96 Se.upf
Li 6.94 Li.upf
CELL_PARAMETERS angstrom
4.5659 0.0000 0.0000
0.0000 7.2135 0.0535
0.0000 2.7248 7.2393
ATOMIC_POSITIONS angstrom
Ac 2.2830 1.3624 3.6197
Sn 0.0000 4.9692 3.6464
Se 2.2830 3.9520 5.4794
Ac 0.0000 2.7248 7.2393
Se 2.2830 5.9864 1.8134
Se 0.0001 7.4020 5.5264
Li 2.2830 6.3316 7.2661
Se 4.5659 2.5364 1.7664
```

Entry 8:
Li2AcSnSe4 after structural relaxation. Source: the Alexandria database, functional PBE-GGA. Values from VASP.

Output
Total DFT energy (no corrections) (eV/atom): -4.3197
Uncorrected formation energy (eV/atom): -1.085

The structure in Quantum ESPRESSO input format:
```
&SYSTEM
  ibrav = 0, nat = 16, ntyp = 4
/
ATOMIC_SPECIES
Se 78.96 Se.upf
Ac 227.00 Ac.upf
Li 6.94 Li.upf
Sn 118.71 Sn.upf
CELL_PARAMETERS angstrom
-1.2710 4.2758 -0.9751
2.2103 -3.3239 -6.7657
-11.8666 -3.9670 -1.9278
ATOMIC_POSITIONS angstrom
Se -5.9333 -1.9835 -0.9639
Se -0.3262 -1.2089 -4.8756
Ac -8.6479 -3.1650 -2.6066
Li -9.9740 -4.7617 -7.8793
Sn -8.5684 -1.5656 -6.3875
Se 0.0000 0.0000 0.0000
Se -10.6010 -1.8062 -4.7931
Se -3.3119 0.9276 -2.3064
Se -3.5843 -2.2980 -5.4049
Se -7.6154 -3.9427 -7.3623
Li -5.7267 0.1508 -2.5649
Ac -2.2793 0.1499 -7.0621
Li -0.9532 1.7466 -1.7894
Li -5.2006 -3.1659 -7.1038
Se -7.3430 -0.7171 -4.2638
Sn -2.3589 -1.4495 -3.2812
```

Entry 9:
LiAc2Sn3Se6 after structural relaxation. Source: the Alexandria database, functional PBE-GGA. Values from VASP.

Output
Total DFT energy (no corrections) (eV/atom): -4.6270
Uncorrected formation energy (eV/atom): -1.040

The structure in Quantum ESPRESSO input format:
```
&SYSTEM
  ibrav = 0, nat = 12, ntyp = 4
/
ATOMIC_SPECIES
Sn 118.71 Sn.upf
Ac 227.00 Ac.upf
Se 78.96 Se.upf
Li 6.94 Li.upf
CELL_PARAMETERS angstrom
4.6069 0.0000 0.0000
0.0000 8.6568 0.3081
-2.3035 -2.5150 9.0277
ATOMIC_POSITIONS angstrom
Sn 2.3035 4.3284 0.1540
Ac 0.0000 1.8517 3.0538
Se 0.0000 2.1959 6.1739
Se 2.3034 3.9459 3.1619
Se 0.0000 6.4550 0.2724
Se 2.3035 -0.3132 9.0634
Li 2.3035 0.0000 0.0000
Ac 2.3035 4.2901 6.2820
Se 0.0000 6.4444 6.6041
Sn 2.3035 -0.4719 6.2624
Sn 0.0000 6.6137 3.0734
Se 2.3035 -0.3026 2.7316
```

Entry 10:
Sr4LiAc3Se8 after structural relaxation. Source: the Alexandria database, functional PBE-GGA. Values from VASP.

Output
Total DFT energy (no corrections) (eV/atom): -4.9552
Uncorrected formation energy (eV/atom): -1.903

The structure in Quantum ESPRESSO input format:
```
&SYSTEM
  ibrav = 0, nat = 16, ntyp = 4
/
ATOMIC_SPECIES
Se 78.96 Se.upf
Li 6.94 Li.upf
Sr 87.62 Sr.upf
Ac 227.00 Ac.upf
CELL_PARAMETERS angstrom
8.8365 0.0000 0.0000
0.0000 8.8819 0.0260
-4.4183 -4.4144 6.2518
ATOMIC_POSITIONS angstrom
Se -2.2402 -2.1642 6.2575
Li 0.0000 4.4409 0.0130
Se 6.6584 6.6317 0.0203
Se 4.4183 4.4772 3.1615
Se 0.0000 4.4555 3.1046
Sr 4.4183 0.0000 0.0000
Ac 4.4183 4.4409 0.0130
Se 2.1781 6.6317 0.0203
Sr 2.2091 -2.2072 3.1259
Ac -2.2091 2.2338 3.1389
Sr -2.2091 -2.2072 3.1259
Se 0.0000 -0.0096 3.1163
Se 4.4183 0.0120 3.1732
Ac 2.2091 2.2338 3.1389
Sr 0.0000 0.0000 0.0000
Se 2.2402 -2.1642 6.2575
```